[1]
This record from the Alexandria database describes a geometry-optimized RbHfAg2Se4 structure. The functional is PBE.

Calculated values
Uncorrected formation energy (eV per atom): -0.689
Calculated total energy (eV for the cell shown): -72.14
Magnetization (μB/cell): 0.0

Cell lengths 6.8398, 7.6996, 8.8918 Å; angles 90.00, 90.00, 90.00 degrees
Closest atoms and distances in Å follow each position.
Space group I222 (No. 23)
Symmetry-distinct sites (fractional):
1 Rb 0.0000 0.0000 0.0000 (multiplicity 2)  8 Se 3.42-3.62
2 Hf 0.0000 0.0000 0.5000 (multiplicity 2)  4 Se 2.54
3 Ag 0.0000 0.5000 0.1675 (multiplicity 4)  2 Se 2.56
4 Se 0.2008 0.2002 0.3344 (multiplicity 8)  1 Hf 2.54, 1 Ag 2.56

---

[2]
This record from the Alexandria database describes a geometry-optimized Tb2Nd2Ho15 structure. The functional is PBE.

Calculated values
Energy of formation from the pure elements (meV per atom): 281
Calculated total energy (eV for the cell shown): -246.38
Magnetization (μB/cell): 0.5

Cell lengths 11.1946, 11.1946, 17.4740 Å; angles 90.00, 90.00, 120.00 degrees
Closest atoms and distances in Å follow each position.
Space group R-3m (No. 166, hexagonal axes)
Symmetry-distinct sites (fractional):
1 Tb 0.0000 0.0000 0.0971 (multiplicity 6)  1 Tb 3.39, 12 Ho 3.45-3.76
2 Nd 0.0000 0.0000 0.3278 (multiplicity 6)  15 Ho 3.94-4.29, 1 Tb 4.03
3 Ho 0.0000 0.2985 0.0000 (multiplicity 18)  6 Ho 3.30-3.37
4 Ho 0.0000 0.5000 0.5000 (multiplicity 9)  8 Ho 3.33-3.37, 2 Tb 3.45
5 Ho 0.0111 0.5056 0.1377 (multiplicity 18)  6 Ho 3.28-3.33

---

[3]
This record from the Alexandria database describes a geometry-optimized CaZrAs structure. The functional is PBE.

Calculated values
Relative energy among the computed polymorphs (meV per atom): 251.4
Energy of formation from the pure elements (meV per atom): -671
Calculated total energy (eV for the cell shown): -34.42
Magnetization (μB/cell): 0.7

Cell lengths 3.8226, 3.7314, 10.3366 Å; angles 90.00, 100.55, 90.00 degrees
Closest atoms and distances in Å follow each position.
Space group Pm (No. 6)
Symmetry-distinct sites (fractional):
1 Ca 0.0000 0.0000 0.0000 (multiplicity 1)  1 Ca 3.01, 6 As 3.02-3.20
2 Ca 0.1479 0.0000 0.2958 (multiplicity 1)  4 As 2.95, 1 Ca 3.01
3 Zr 0.3305 0.0000 0.6655 (multiplicity 1)  4 As 2.86, 4 Zr 3.19
4 Zr 0.7456 0.5000 0.4938 (multiplicity 1)  1 As 2.77
5 As 0.5868 0.5000 0.1727 (multiplicity 1)  8 Ca 2.95-3.20, 1 Zr 3.26
6 As 0.8806 0.5000 0.7669 (multiplicity 1)  5 Zr 2.77-2.86, 2 Ca 3.02

---

[4]
This record from the Alexandria database describes a geometry-optimized AcLa2Cd2Pb2 structure. The functional is PBE.

Calculated values
Energy of formation from the pure elements (meV per atom): -284
Calculated total energy (eV for the cell shown): -75.60
Magnetization (μB/cell): 0.0

Cell lengths 5.1902, 5.1902, 28.7384 Å; angles 90.00, 90.00, 120.00 degrees
Closest atoms and distances in Å follow each position.
Space group R-3m (No. 166, hexagonal axes)
Symmetry-distinct sites (fractional):
1 Ac 0.0000 0.0000 0.0000 (multiplicity 3)  6 Pb 3.56, 2 La 3.88
2 La 0.0000 0.0000 0.1349 (multiplicity 6)  3 Cd 3.23, 3 La 3.51, 3 Pb 3.58
3 Cd 0.0000 0.0000 0.4263 (multiplicity 6)  3 Pb 3.09, 3 La 3.23
4 Pb 0.0000 0.0000 0.2666 (multiplicity 6)  3 Cd 3.09

---

[5]
This record from the Alexandria database describes a geometry-optimized MnBe2As structure. The functional is PBE.

Calculated values
Energy of formation from the pure elements (meV per atom): 54
Calculated total energy (eV for the cell shown): -42.11
Magnetization (μB/cell): 3.1

Cell lengths 3.4002, 3.4002, 7.4898 Å; angles 90.00, 90.00, 90.00 degrees
Closest atoms and distances in Å follow each position.
Space group I4/mmm (No. 139)
Symmetry-distinct sites (fractional):
1 Mn 0.0000 0.0000 0.0000 (multiplicity 2)  4 As 2.40, 8 Be 2.53
2 Be 0.0000 0.5000 0.2500 (multiplicity 4)  4 Be 2.40, 4 As 2.53, 4 Mn 2.53
3 As 0.0000 0.0000 0.5000 (multiplicity 2)  4 Mn 2.40, 8 Be 2.53

---

[6]
This record from the Alexandria database describes a geometry-optimized Pu2Co3Ge4Ru structure. The functional is PBE.

Calculated values
Energy of formation from the pure elements (meV per atom): -404
Calculated total energy (eV for the cell shown): -81.77
Magnetization (μB/cell): 9.6

Cell lengths 4.1277, 4.1277, 9.6455 Å; angles 90.00, 90.00, 90.00 degrees
Closest atoms and distances in Å follow each position.
Space group P-4m2 (No. 115)
Symmetry-distinct sites (fractional):
1 Pu 0.0000 0.5000 0.2480 (multiplicity 2)  8 Ge 3.13-3.16, 6 Co 3.16-3.19, 2 Ru 3.19
2 Co 0.0000 0.5000 0.8763 (multiplicity 2)  5 Ge 2.33-2.38
3 Co 0.5000 0.5000 0.5000 (multiplicity 1)  4 Ge 2.44
4 Ge 0.0000 0.0000 0.0000 (multiplicity 1)  4 Co 2.38
5 Ge 0.0000 0.5000 0.6344 (multiplicity 2)  3 Co 2.33-2.44, 2 Ru 2.44
6 Ge 0.5000 0.5000 0.0000 (multiplicity 1)  4 Co 2.38
7 Ru 0.0000 0.0000 0.5000 (multiplicity 1)  4 Ge 2.44